An optimized crystal structure of MgNi2P2O6, computed with PBE+U.

```
data_MgNi2P2O6
_cell_length_a 5.2605
_cell_length_b 5.2605
_cell_length_c 5.5622
_cell_angle_alpha 90.00
_cell_angle_beta 90.00
_cell_angle_gamma 120.00
_space_group_name_H-M_alt 'P -3'
_space_group_IT_number 147
loop_
_space_group_symop_operation_xyz
'x,y,z'
'-x,-y,-z'
'-y,x-y,z'
'y,-x+y,-z'
'-x+y,-x,z'
'x-y,x,-z'
loop_
_atom_site_label
_atom_site_type_symbol
_atom_site_fract_x
_atom_site_fract_y
_atom_site_fract_z
Mg1 Mg 0.0000 0.0000 0.0000
Ni1 Ni 0.3333 0.6667 0.2440
P1 P 0.3333 0.6667 0.8556
O1 O 0.0788 0.7169 0.7697
```

Output
The spin magnetization comes out at 0.01 μB/f.u. The calculation puts the total energy at -63.36 eV/cell.